(1)
First-principles (PBE) data for a relaxed ZrHPdRu2 crystal, as listed in the Alexandria database.

ΔE to the lowest computed polymorph ... 16 meV/atom
Theoretical density ... 10.2 Mg/m³
SG ... No. 123
E_tot ... -0.5458 Ry per atom

Lattice parameters (Å, degrees): 3.9625 3.9625 4.1741 90.00 90.00 90.00
Last column: nearest neighbours and their distance in Å.
Atoms (fractional coordinates):
1 H 0.0000 0.0000 0.0000  4 Ru 1.98, 2 Zr 2.09
2 Pd 0.5000 0.5000 0.5000  4 Zr 2.80, 8 Ru 2.88
3 Zr 0.0000 0.0000 0.5000  2 H 2.09
4 Ru 0.5000 0.0000 0.0000  2 H 1.98
5 Ru 0.0000 0.5000 0.0000  2 H 1.98


(2)
First-principles (PBE) data for a relaxed BaCa3Hg crystal, as listed in the Alexandria database.

ΔH_f (0 K) ... 85.9 kJ per mole of atoms
ΔE to the lowest computed polymorph ... 1105 meV/atom
Theoretical density ... 2.7 Mg/m³
SG ... No. 221
E_tot ... -0.0556 Ry per atom

Lattice parameters (Å, degrees): 6.5454 6.5454 6.5454 90.00 90.00 90.00
Last column: nearest neighbours and their distance in Å.
Atoms (fractional coordinates):
1 Ba 0.0000 0.0000 0.0000  6 Ca 3.27
2 Hg 0.5000 0.5000 0.5000  12 Ca 4.63
3 Ca 0.0000 0.0000 0.5000  2 Ba 3.27
4 Ca 0.5000 0.0000 0.0000  2 Ba 3.27
5 Ca 0.0000 0.5000 0.0000  2 Ba 3.27


(3)
First-principles (PBE) data for a relaxed La2Pu3ThSe6 crystal, as listed in the Alexandria database.

Theoretical density ... 9.0 Mg/m³
SG ... No. 12
E_tot ... -0.6215 Ry per atom

Lattice parameters (Å, degrees): 4.1960 8.4235 9.4034 102.33 102.89 90.00
Last column: nearest neighbours and their distance in Å.
Atoms (fractional coordinates):
1 La 0.1655 0.3355 0.3310  6 Se 3.02-3.03
2 Se 0.9968 0.2534 0.9935  3 Pu 2.93-2.94, 2 Th 3.00, 1 La 3.02
3 La 0.8345 0.6645 0.6690  6 Se 3.02-3.03
4 Se 0.3351 0.4070 0.6703  3 Pu 2.93-2.95, 3 La 3.02-3.03
5 Se 0.3319 0.9228 0.6638  3 Pu 2.91-2.95, 1 Th 3.01, 2 La 3.03
6 Se 0.6681 0.0772 0.3362  3 Pu 2.91-2.95, 1 Th 3.01, 2 La 3.03
7 Th 0.5000 0.0000 0.0000  6 Se 3.00-3.01
8 Pu 0.5000 0.5000 0.0000  6 Se 2.94-2.95
9 Se 0.6649 0.5930 0.3297  3 Pu 2.93-2.95, 3 La 3.02-3.03
10 Pu 0.8328 0.1630 0.6657  6 Se 2.91-2.95
11 Se 0.0032 0.7466 0.0065  3 Pu 2.93-2.94, 2 Th 3.00, 1 La 3.02
12 Pu 0.1672 0.8370 0.3343  6 Se 2.91-2.95


- What is the formula in the second record?
  BaCa3Hg